Entry 1:
# PuGe2Sb PBE relaxed
# Total moment: 5.8 μB per formula unit
# Polymorph energy (0 for the lowest one): 0.86 eV per formula unit
# E: -28.15 eV/cell
# Raw formation energy: -0.115 eV per atom
# D(E_F): 7.30 states/eV/cell
data_PuGe2Sb
_chemical_formula_sum 'Pu1 Ge2 Sb1'
_symmetry_space_group_name_H-M 'P 4/m m m'
_symmetry_Int_Tables_number 123
_symmetry_space_group_name_Hall '-P 4 2'
_cell_length_a 3.813
_cell_length_b 3.813
_cell_length_c 6.172
_cell_angle_alpha 90.00
_cell_angle_beta 90.00
_cell_angle_gamma 90.00
loop_
_atom_site_label
_atom_site_fract_x
_atom_site_fract_y
_atom_site_fract_z
Pu1 0.000 0.000 0.000
Ge1 0.500 0.500 0.271
Sb1 0.000 0.000 0.500

Entry 2:
# CsI2NF PBE relaxed
# Total moment: 2.9 μB per formula unit
# Polymorph energy (0 for the lowest one): 0.00 eV per formula unit
# E: -12.72 eV/cell
# Raw formation energy: 0.285 eV per atom
# D(E_F): 2.55 states/eV/cell
data_CsI2NF
_chemical_formula_sum 'Cs1 I2 N1 F1'
_symmetry_space_group_name_H-M 'P 4/m m m'
_symmetry_Int_Tables_number 123
_symmetry_space_group_name_Hall '-P 4 2'
_cell_length_a 5.350
_cell_length_b 5.350
_cell_length_c 5.847
_cell_angle_alpha 90.00
_cell_angle_beta 90.00
_cell_angle_gamma 90.00
loop_
_atom_site_label
_atom_site_fract_x
_atom_site_fract_y
_atom_site_fract_z
Cs1 0.000 0.000 0.000
I1 0.000 0.500 0.500
N1 0.500 0.500 0.000
F1 0.500 0.500 0.500

Entry 3:
# Cr2PRh PBE relaxed
# Total moment: 0.5 μB per formula unit
# ΔE_f: -0.187 eV/atom
# E: -65.51 eV/cell
# D(E_F): 7.92 states/eV/cell
data_Cr2PRh
_chemical_formula_sum 'Cr4 P2 Rh2'
_symmetry_space_group_name_H-M 'I m m 2'
_symmetry_Int_Tables_number 44
_cell_length_a 2.795
_cell_length_b 4.152
_cell_length_c 8.511
_cell_angle_alpha 90.00
_cell_angle_beta 90.00
_cell_angle_gamma 90.00
loop_
_symmetry_equiv_pos_as_xyz
'x,y,z'
'-x,-y,z'
'-x,y,z'
'x,-y,z'
'x+1/2,y+1/2,z+1/2'
'-x+1/2,-y+1/2,z+1/2'
'-x+1/2,y+1/2,z+1/2'
'x+1/2,-y+1/2,z+1/2'
loop_
_atom_site_label
_atom_site_fract_x
_atom_site_fract_y
_atom_site_fract_z
Cr1 0.000 0.000 0.000
Cr2 0.000 0.500 0.213
P1 0.000 0.500 0.711
Rh1 0.000 0.000 0.435

Entry 4:
# CePH2Ir PBE relaxed
# Total moment: 0.6 μB per formula unit
# E: -120.06 eV/cell
# D(E_F): 23.99 states/eV/cell
data_CePH2Ir
_chemical_formula_sum 'Ce4 P4 H8 Ir4'
_symmetry_space_group_name_H-M 'C m c m'
_symmetry_Int_Tables_number 63
_symmetry_space_group_name_Hall '-C 2c 2'
_cell_length_a 3.808
_cell_length_b 10.001
_cell_length_c 6.697
_cell_angle_alpha 90.00
_cell_angle_beta 90.00
_cell_angle_gamma 90.00
loop_
_atom_site_label
_atom_site_fract_x
_atom_site_fract_y
_atom_site_fract_z
Ce1 0.000 0.225 0.250
P1 0.000 0.053 0.750
H1 0.000 0.334 0.562
Ir1 0.000 0.500 0.000

Entry 5:
# Tb6Pr3Sm2 PBE relaxed
# Total moment: 0.0 μB per formula unit
# Polymorph energy (0 for the lowest one): 0.00 eV per formula unit
# ΔE_f: 0.160 eV/atom
# E: -99.59 eV/cell
# D(E_F): 33.49 states/eV/cell
data_Tb6Pr3Sm2
_chemical_formula_sum 'Tb12 Pr6 Sm4'
_symmetry_space_group_name_H-M 'C 1 2/m 1'
_symmetry_Int_Tables_number 12
_cell_length_a 5.899
_cell_length_b 11.623
_cell_length_c 11.088
_cell_angle_alpha 90.00
_cell_angle_beta 97.36
_cell_angle_gamma 90.00
loop_
_symmetry_equiv_pos_as_xyz
'x,y,z'
'-x,-y,-z'
'-x,y,-z'
'x,-y,z'
'x+1/2,y+1/2,z'
'-x+1/2,-y+1/2,-z'
'-x+1/2,y+1/2,-z'
'x+1/2,-y+1/2,z'
loop_
_atom_site_label
_atom_site_fract_x
_atom_site_fract_y
_atom_site_fract_z
Tb1 0.060 0.157 0.212
Tb2 0.077 0.500 0.267
Pr1 0.000 0.000 0.500
Pr2 0.000 0.318 0.500
Sm1 0.000 0.360 0.000

Entry 6:
# Cr2RePb PBE relaxed
# Total moment: 3.7 μB per formula unit
# ΔE_f: 0.719 eV/atom
# E: -65.05 eV/cell
# D(E_F): 7.24 states/eV/cell
data_Cr2RePb
_chemical_formula_sum 'Cr4 Re2 Pb2'
_symmetry_space_group_name_H-M 'C m m m'
_symmetry_Int_Tables_number 65
_symmetry_space_group_name_Hall '-C 2 2'
_cell_length_a 5.798
_cell_length_b 7.263
_cell_length_c 3.023
_cell_angle_alpha 90.00
_cell_angle_beta 90.00
_cell_angle_gamma 90.00
loop_
_atom_site_label
_atom_site_fract_x
_atom_site_fract_y
_atom_site_fract_z
Cr1 0.250 0.250 0.000
Re1 0.000 0.000 0.500
Pb1 0.000 0.500 0.500